LiCeNd2: optimized geometry, GGA-PBE.

Magnetization (μB per formula unit): 0.68
ΔH_f (0 K) (meV per atom): 127
Calculated volume (Å³/f.u.): 123.0
Energy above the lowest structure with this stoichiometry (kJ/mol of atoms): 4.2
DOS at the Fermi energy (states/eV/cell): 20.847
E_tot (eV/f.u.): -16.877

Lattice parameters (Å, degrees): 3.5095 3.5095 34.6087 90.00 90.00 120.00
Space group R3m (No. 160, hexagonal axes)
Symmetry-distinct sites (fractional):
Li  0.0000  0.0000  0.0000
Ce  0.0000  0.0000  0.8334
Nd  0.0000  0.0000  0.4152
Nd  0.0000  0.0000  0.5850